a) Entry from Alexandria: KMnTc3 after structural relaxation (PBE).

Summary:
Space group = Pm-3m (221)
N(E_F) = 10.1 states/eV per cell
M_tot = 0.223 μB/f.u.

a b c (Å): 4.3923 4.3923 4.3923
angles (deg): 90.00 90.00 90.00
With the nearest neighbours (Å) after each atom.
Fractional coordinates of all 5 atoms:
Tc  0.5000  0.0000  0.0000  2 K 2.20
Tc  0.0000  0.0000  0.5000  2 K 2.20
Tc  0.0000  0.5000  0.0000  2 K 2.20
Mn  0.5000  0.5000  0.5000  12 Tc 3.11
K  0.0000  0.0000  0.0000  6 Tc 2.20

---

b) Entry from Alexandria: KMnTc3 after structural relaxation (PBE).

Summary:
Space group = Pm-3m (221)
N(E_F) = 4.4 states/eV per cell
M_tot = 2.616 μB/f.u.

a b c (Å): 4.5856 4.5856 4.5856
angles (deg): 90.00 90.00 90.00
With the nearest neighbours (Å) after each atom.
Fractional coordinates of all 5 atoms:
K  0.5000  0.5000  0.5000  12 Tc 3.24
Tc  0.5000  0.0000  0.0000  2 Mn 2.29
Tc  0.0000  0.0000  0.5000  2 Mn 2.29
Tc  0.0000  0.5000  0.0000  2 Mn 2.29
Mn  0.0000  0.0000  0.0000  6 Tc 2.29

---

Quick one: least stable of them? a)

---

a) Entry from Alexandria: KMn3Tc after structural relaxation (PBE).

Summary:
Space group = Pm-3m (221)
N(E_F) = 10.3 states/eV per cell
M_tot = 1.370 μB/f.u.

a b c (Å): 4.1334 4.1334 4.1334
angles (deg): 90.00 90.00 90.00
With the nearest neighbours (Å) after each atom.
Fractional coordinates of all 5 atoms:
Tc  0.5000  0.5000  0.5000  12 Mn 2.92
Mn  0.0000  0.5000  0.0000  2 K 2.07
Mn  0.5000  0.0000  0.0000  2 K 2.07
Mn  0.0000  0.0000  0.5000  2 K 2.07
K  0.0000  0.0000  0.0000  6 Mn 2.07

---

b) Entry from Alexandria: KMn3Tc after structural relaxation (PBE).

Summary:
Space group = Pm-3m (221)
N(E_F) = 2.9 states/eV per cell
M_tot = 11.019 μB/f.u.

a b c (Å): 4.9022 4.9022 4.9022
angles (deg): 90.00 90.00 90.00
With the nearest neighbours (Å) after each atom.
Fractional coordinates of all 5 atoms:
Mn  0.5000  0.0000  0.0000  2 Tc 2.45
Mn  0.0000  0.0000  0.5000  2 Tc 2.45
Mn  0.0000  0.5000  0.0000  2 Tc 2.45
K  0.5000  0.5000  0.5000  12 Mn 3.47
Tc  0.0000  0.0000  0.0000  6 Mn 2.45

---

Quick one: least stable of them? a)

---

a) Entry from Alexandria: KMnTe4 after structural relaxation (PBE).

Summary:
Space group = F-43m (216)
N(E_F) = 2.5 states/eV per cell
M_tot = 5.762 μB/f.u.

a b c (Å): 6.5310 6.5310 6.5310
angles (deg): 60.00 60.00 60.00
With the nearest neighbours (Å) after each atom.
Fractional coordinates of all 6 atoms:
Te  0.3742  0.3742  0.3742  6 Te 3.24-3.29
Te  0.3742  0.3742  0.8775  6 Te 3.24-3.29
Te  0.3742  0.8775  0.3742  6 Te 3.24-3.29
Te  0.8775  0.3742  0.3742  6 Te 3.24-3.29
K  0.7500  0.7500  0.7500  12 Te 3.83, 4 Mn 4.00
Mn  0.0000  0.0000  0.0000  12 Te 3.83, 4 K 4.00

---

b) Entry from Alexandria: KMnTe4 after structural relaxation (PBE).

Summary:
Space group = C2/m (12)
N(E_F) = 2.8 states/eV per cell
M_tot = 0.000 μB/f.u.

a b c (Å): 6.8427 7.8588 8.5706
angles (deg): 117.29 97.70 90.00
With the nearest neighbours (Å) after each atom.
Fractional coordinates of all 12 atoms:
Te  0.4503  0.1846  0.8121  2 Mn 2.60-2.65, 1 Te 2.84
Te  0.0000  0.2971  0.0000  2 Mn 2.62
Te  0.0000  0.7029  0.0000  2 Mn 2.62
Te  0.2775  0.6934  0.3867  1 Mn 2.82, 2 Te 3.11
Te  0.5497  0.3725  0.1879  2 Mn 2.60-2.65, 1 Te 2.84
Te  0.4503  0.6275  0.8121  2 Mn 2.60-2.65, 1 Te 2.84
Te  0.7225  0.3066  0.6133  1 Mn 2.82, 2 Te 3.11
Te  0.5497  0.8154  0.1879  2 Mn 2.60-2.65, 1 Te 2.84
K  0.1699  0.1920  0.3840  10 Te 3.75-4.00
K  0.8301  0.8080  0.6160  10 Te 3.75-4.00
Mn  0.3060  0.5107  0.0214  7 Te 2.60-2.82, 1 Mn 2.72
Mn  0.6940  0.4893  0.9786  7 Te 2.60-2.82, 1 Mn 2.72

---

Quick one: least stable of them? a)

---

a) Entry from Alexandria: KMnTe3 after structural relaxation (PBE).

Summary:
Space group = Pm-3m (221)
N(E_F) = 8.1 states/eV per cell
M_tot = 4.427 μB/f.u.

a b c (Å): 5.8746 5.8746 5.8746
angles (deg): 90.00 90.00 90.00
With the nearest neighbours (Å) after each atom.
Fractional coordinates of all 5 atoms:
Te  0.5000  0.0000  0.0000  2 K 2.94
Te  0.0000  0.0000  0.5000  2 K 2.94
Te  0.0000  0.5000  0.0000  2 K 2.94
K  0.0000  0.0000  0.0000  6 Te 2.94
Mn  0.5000  0.5000  0.5000  12 Te 4.15

---

b) Entry from Alexandria: KMnTe3 after structural relaxation (PBE).

Summary:
Space group = P1 (1)
N(E_F) = 3.7 states/eV per cell
M_tot = 4.286 μB/f.u.

a b c (Å): 6.6877 6.6871 8.6841
angles (deg): 68.79 68.86 73.21
With the nearest neighbours (Å) after each atom.
Fractional coordinates of all 10 atoms:
Te  0.1236  0.7782  0.8798  2 Mn 2.78-2.81
Te  0.4749  0.1108  0.3755  2 Mn 2.81-2.95
Te  0.9868  0.6005  0.3743  2 Mn 2.82-2.93
Te  0.9807  0.1050  0.3698  2 Mn 2.73-2.94
Te  0.1458  0.2746  0.8808  2 Mn 2.76-2.90
Te  0.6489  0.2509  0.8798  2 Mn 2.78-2.81
K  0.4513  0.5751  0.4696  5 Te 3.41-3.59
K  0.6664  0.7927  0.7683  7 Te 3.42-3.78, 1 Mn 3.77
Mn  0.8536  0.9817  0.1300  6 Te 2.78-2.94
Mn  0.0510  0.1803  0.6330  6 Te 2.73-2.95

---

c) Entry from Alexandria: KMnTe3 after structural relaxation (PBE).

Summary:
Space group = Pm-3m (221)
N(E_F) = 9.9 states/eV per cell
M_tot = 0.000 μB/f.u.

a b c (Å): 5.2272 5.2272 5.2272
angles (deg): 90.00 90.00 90.00
With the nearest neighbours (Å) after each atom.
Fractional coordinates of all 5 atoms:
Te  0.0000  0.5000  0.0000  2 Mn 2.61
Te  0.5000  0.0000  0.0000  2 Mn 2.61
Te  0.0000  0.0000  0.5000  2 Mn 2.61
Mn  0.0000  0.0000  0.0000  6 Te 2.61
K  0.5000  0.5000  0.5000  12 Te 3.70

---

Quick one: least stable of them? a)

---

a) Entry from Alexandria: KTi2Mn after structural relaxation (PBE).

Summary:
Space group = Fd-3m (227)
N(E_F) = 11.3 states/eV per cell
M_tot = 1.510 μB/f.u.

a b c (Å): 6.9743 6.9743 6.9774
angles (deg): 60.01 60.01 90.00
With the nearest neighbours (Å) after each atom.
Fractional coordinates of all 8 atoms:
K  0.2500  0.7500  0.5000  12 Ti 4.09, 4 Mn 4.27, 4 K 4.27
K  0.5000  0.5000  0.0000  12 Ti 4.09, 4 Mn 4.27, 4 K 4.27
Mn  0.7500  0.2500  0.5000  4 Ti 2.14
Mn  0.0000  0.0000  0.0000  4 Ti 2.14
Ti  0.3750  0.1250  0.7500  2 Mn 2.14
Ti  0.8750  0.1250  0.2500  2 Mn 2.14
Ti  0.8750  0.1250  0.7500  2 Mn 2.14
Ti  0.8750  0.6250  0.2500  2 Mn 2.14

---

b) Entry from Alexandria: KTi2Mn after structural relaxation (PBE).

Summary:
Space group = Fm-3m (225)
N(E_F) = 8.0 states/eV per cell
M_tot = 0.000 μB/f.u.

a b c (Å): 4.6418 4.6418 4.6418
angles (deg): 60.00 60.00 60.00
With the nearest neighbours (Å) after each atom.
Fractional coordinates of all 4 atoms:
Mn  0.5000  0.5000  0.5000  8 Ti 2.84
Ti  0.7500  0.7500  0.7500  4 Mn 2.84, 4 K 2.84
Ti  0.2500  0.2500  0.2500  4 Mn 2.84, 4 K 2.84
K  0.0000  0.0000  0.0000  8 Ti 2.84

---

Quick one: least stable of them? b)

---

a) Entry from Alexandria: KTiMn2 after structural relaxation (PBE).

Summary:
Space group = I4_1/amd (141)
N(E_F) = 9.9 states/eV per cell
M_tot = 5.120 μB/f.u.

a b c (Å): 5.2962 5.2962 9.0863
angles (deg): 73.06 73.06 90.00
With the nearest neighbours (Å) after each atom.
Fractional coordinates of all 8 atoms:
Mn  0.8756  0.6250  0.2500  2 Ti 2.46, 2 Mn 2.65
Mn  0.8750  0.1244  0.7500  2 Ti 2.46, 2 Mn 2.65
Mn  0.3750  0.1256  0.7500  2 Ti 2.46, 2 Mn 2.65
Mn  0.8744  0.1250  0.2500  2 Ti 2.46, 2 Mn 2.65
Ti  0.7500  0.2500  0.5000  4 Mn 2.46
Ti  0.0000  0.0000  0.0000  4 Mn 2.46
K  0.5000  0.5000  0.0000  8 Mn 3.61, 4 Ti 3.74
K  0.2500  0.7500  0.5000  8 Mn 3.61, 4 Ti 3.74

---

b) Entry from Alexandria: KTiMn2 after structural relaxation (PBE).

Summary:
Space group = Fm-3m (225)
N(E_F) = 7.2 states/eV per cell
M_tot = 0.000 μB/f.u.

a b c (Å): 4.5165 4.5165 4.5165
angles (deg): 60.00 60.00 60.00
With the nearest neighbours (Å) after each atom.
Fractional coordinates of all 4 atoms:
Ti  0.5000  0.5000  0.5000  8 Mn 2.77
Mn  0.2500  0.2500  0.2500  4 K 2.77, 4 Ti 2.77
Mn  0.7500  0.7500  0.7500  4 Ti 2.77, 4 K 2.77
K  0.0000  0.0000  0.0000  8 Mn 2.77

---

Quick one: least stable of them? b)

---

a) Entry from Alexandria: KMnTl2 after structural relaxation (PBE).

Summary:
Space group = I-4m2 (119)
N(E_F) = 2.6 states/eV per cell
M_tot = 4.288 μB/f.u.

a b c (Å): 5.9463 5.9463 5.9463
angles (deg): 131.38 131.38 71.21
With the nearest neighbours (Å) after each atom.
Fractional coordinates of all 4 atoms:
Mn  0.7500  0.2500  0.5000  8 Tl 3.44-3.46, 4 K 3.44
Tl  0.0000  0.0000  0.0000  4 Mn 3.44, 4 Tl 3.44, 4 K 3.46
Tl  0.2500  0.7500  0.5000  4 Tl 3.44, 4 K 3.44, 4 Mn 3.46
K  0.5000  0.5000  0.0000  8 Tl 3.44-3.46, 4 Mn 3.44

---

b) Entry from Alexandria: KMnTl2 after structural relaxation (PBE).

Summary:
Space group = C2/m (12)
N(E_F) = 2.5 states/eV per cell
M_tot = 4.152 μB/f.u.

a b c (Å): 7.8410 5.8591 3.4051
angles (deg): 89.56 64.99 123.11
With the nearest neighbours (Å) after each atom.
Fractional coordinates of all 4 atoms:
Tl  0.0000  0.0000  0.0000  4 Mn 3.38-3.40, 4 K 3.38-3.40, 4 Tl 3.41-3.55
Tl  0.5000  0.0000  0.5000  4 K 3.38-3.40, 4 Mn 3.38-3.40, 4 Tl 3.41-3.55
K  0.0000  0.5000  0.5000  8 Tl 3.38-3.40, 2 K 3.41, 2 Mn 3.55
Mn  0.5000  0.5000  0.0000  8 Tl 3.38-3.40, 2 Mn 3.41, 2 K 3.55

---

Quick one: least stable of them? a)